Compound: HoSc2Ni4Ge4
Source: the Open Quantum Materials Database
Functional: PBE-GGA
Structure: optimized geometry

```
HoSc2Ni4Ge4
1.0
1.4661 -7.4094 -0.7765
5.9301 -2.9085 3.7452
-6.7963 3.3848 0.0684
Ge Ni Ho Sc
4 4 1 2
direct
0.6886 0.5000 0.1886 Ge
0.2226 0.2226 0.0000 Ge
0.7774 0.7774 0.0000 Ge
0.3114 0.5000 0.8114 Ge
0.3736 0.6775 0.6961 Ni
0.0186 0.3225 0.6961 Ni
0.6264 0.3225 0.3039 Ni
0.9814 0.6775 0.3039 Ni
0.0000 0.0000 0.0000 Ho
0.3735 0.8735 0.5000 Sc
0.6265 0.1265 0.5000 Sc
```

Computed properties:
E ... -6.037 eV/atom
SG ... Immm (71)
Calculated volume ... 172.5 Å³ per cell

***

Compound: YLuCoBi
Source: the Open Quantum Materials Database
Functional: PBE-GGA
Structure: optimized geometry

```
YLuCoBi
1.0
-1.1520 -0.1484 4.9303
-1.4396 4.2260 2.3928
-4.8081 0.5512 1.4951
Bi Co Lu Y
1 1 1 1
direct
0.0000 0.0000 0.0000 Bi
0.7500 0.7500 0.7500 Co
0.5000 0.5000 0.5000 Lu
0.2500 0.2500 0.2500 Y
```

Computed properties:
E ... -5.359 eV/atom
SG ... F-43m (216)
Calculated volume ... 91.9 Å³ per cell